No. 1
The following is a PBE calculation of a geometry-optimized Ho3ZrSc4 structure, from Alexandria.

Cell and atoms, written as POSCAR:
```
Ho3ZrSc4
1.0
5.9097 0.0000 0.0000
0.0000 6.8178 0.0000
0.0000 0.0000 10.6136
Ho Zr Sc
6 2 8
Direct
0.6380 0.6271 0.0000
0.9809 0.6296 0.2469
0.4809 0.3704 0.2531
0.1380 0.3729 0.5000
0.4809 0.3704 0.7469
0.9809 0.6296 0.7531
0.1478 0.3661 0.0000
0.6478 0.6339 0.5000
0.1481 0.8864 0.0000
0.6538 0.1273 0.0000
0.9829 0.1225 0.2436
0.4829 0.8775 0.2564
0.1538 0.8727 0.5000
0.6481 0.1136 0.5000
0.4829 0.8775 0.7436
0.9829 0.1225 0.7564
```

Computed properties:
Its calculated formation energy is 36 meV per atom. As for the space-group type: Pmn2_1 (31). The value obtained for the total energy is -0.21736 Ha/atom.

=====

No. 2
The following is a PBE calculation of a geometry-optimized Ba2Tb2Mg15 structure, from Alexandria.

Cell and atoms, written as POSCAR:
```
Ba2Tb2Mg15
1.0
8.1703 -0.0259 -0.0230
1.0343 8.1046 -0.0230
1.0343 0.9078 8.0536
Ba Tb Mg
2 2 15
Direct
0.3392 0.3392 0.3392
0.6608 0.6608 0.6608
0.0967 0.0967 0.0967
0.9033 0.9033 0.9033
0.5000 0.0000 0.0000
0.0000 0.0000 0.5000
0.0000 0.5000 0.0000
0.0000 0.7116 0.2884
0.7116 0.2884 0.0000
0.2884 0.0000 0.7116
0.2884 0.7116 0.0000
0.7116 0.0000 0.2884
0.0000 0.2884 0.7116
0.1503 0.6490 0.6490
0.6490 0.6490 0.1503
0.6490 0.1503 0.6490
0.8497 0.3510 0.3510
0.3510 0.3510 0.8497
0.3510 0.8497 0.3510
```

Computed properties:
Its calculated formation energy is -37 meV per atom. As for the space-group type: R-3m (166). The value obtained for the total energy is -0.07297 Ha/atom.

=====

No. 3
The following is a PBE calculation of a geometry-optimized EuGdP structure, from Alexandria.

Cell and atoms, written as POSCAR:
```
EuGdP
1.0
-3.5893 1.9057 -5.4913
-3.3257 0.2118 2.2473
2.3532 3.2318 -0.4166
Eu P Gd
1 1 1
Direct
0.7509 0.6667 0.3333
0.0156 0.0000 0.0000
0.2334 0.3333 0.6667
```

Computed properties:
Its calculated formation energy is -892 meV per atom. As for the space-group type: P3m1 (156). The value obtained for the total energy is -0.39740 Ha/atom.

=====

No. 4
The following is a PBE calculation of a geometry-optimized Ce4Bi2SbSe structure, from Alexandria.

Cell and atoms, written as POSCAR:
```
Ce4Bi2SbSe
1.0
-3.6775 0.4083 2.5071
-4.3723 -2.3586 -6.0292
-0.7121 -7.6934 0.2084
Ce Bi Sb Se
4 2 1 1
Direct
0.0000 0.7383 0.7474
0.0000 0.2617 0.2526
0.5000 0.7338 0.2616
0.5000 0.2662 0.7383
0.0000 0.0000 0.0000
0.5000 0.0000 0.5000
0.5000 0.5000 0.0000
0.0000 0.5000 0.5000
```

Computed properties:
The value obtained for the uncorrected formation energy is -1.09 eV per atom. As for the space-group type: P2/m (10). The value obtained for the total energy is -0.21964 Ha/atom.

=====

No. 5
The following is a PBE calculation of a geometry-optimized AlTeOs structure, from Alexandria.

Cell and atoms, written as POSCAR:
```
AlTeOs
1.0
4.3735 0.0000 0.0000
2.1868 3.7876 0.0000
2.1868 1.2625 3.5710
Te Os Al
1 1 1
Direct
0.0000 0.0000 0.0000
0.2500 0.2500 0.2500
0.5000 0.5000 0.5000
```

Computed properties:
The value obtained for the uncorrected formation energy is 0.11 eV per atom. As for the space-group type: F-43m (216). The calculation puts the energy above the most stable polymorph in this dataset at 0.000 eV per atom. The value obtained for the total energy is -0.21790 Ha/atom.

=====

No. 6
The following is a PBE calculation of a geometry-optimized VIn2Hg structure, from Alexandria.

Cell and atoms, written as POSCAR:
```
VIn2Hg
1.0
0.0000 3.5441 3.5441
3.5441 0.0000 3.5441
3.5441 3.5441 0.0000
In Hg V
2 1 1
Direct
0.2500 0.2500 0.2500
0.7500 0.7500 0.7500
0.5000 0.5000 0.5000
0.0000 0.0000 0.0000
```

Computed properties:
Its calculated formation energy is 402 meV per atom. As for the space-group type: Fm-3m (225). The calculation puts the energy above the most stable polymorph in this dataset at 0.000 eV per atom. The value obtained for the total energy is -0.12208 Ha/atom.

=====

Repeat the first record exactly.
The following is a PBE calculation of a geometry-optimized Ho3ZrSc4 structure, from Alexandria.

Cell and atoms, written as POSCAR:
```
Ho3ZrSc4
1.0
5.9097 0.0000 0.0000
0.0000 6.8178 0.0000
0.0000 0.0000 10.6136
Ho Zr Sc
6 2 8
Direct
0.6380 0.6271 0.0000
0.9809 0.6296 0.2469
0.4809 0.3704 0.2531
0.1380 0.3729 0.5000
0.4809 0.3704 0.7469
0.9809 0.6296 0.7531
0.1478 0.3661 0.0000
0.6478 0.6339 0.5000
0.1481 0.8864 0.0000
0.6538 0.1273 0.0000
0.9829 0.1225 0.2436
0.4829 0.8775 0.2564
0.1538 0.8727 0.5000
0.6481 0.1136 0.5000
0.4829 0.8775 0.7436
0.9829 0.1225 0.7564
```

Computed properties:
Its calculated formation energy is 36 meV per atom. As for the space-group type: Pmn2_1 (31). The value obtained for the total energy is -0.21736 Ha/atom.